Rb2La2Sn15: optimized geometry, GGA-PBE.

Values from the calculation:
ΔE_f ... -0.215 eV/atom
Total DFT energy (no corrections) ... -75.91 eV per formula unit
Space-group type ... R-3m
Total magnetization ... 0.00 μB/cell

Structure (POSCAR):
```
Rb2La2Sn15
1.0
5.440 3.141 5.816
-5.440 3.141 5.816
0.000 -6.282 5.816
Rb La Sn
2 2 15
direct
0.148 0.148 0.148 Rb
0.852 0.852 0.852 Rb
0.391 0.391 0.391 La
0.609 0.609 0.609 La
0.000 0.500 0.500 Sn
0.140 0.140 0.646 Sn
0.140 0.646 0.140 Sn
0.213 0.500 0.787 Sn
0.213 0.787 0.500 Sn
0.354 0.860 0.860 Sn
0.500 0.000 0.500 Sn
0.500 0.213 0.787 Sn
0.500 0.500 0.000 Sn
0.500 0.787 0.213 Sn
0.646 0.140 0.140 Sn
0.787 0.213 0.500 Sn
0.787 0.500 0.213 Sn
0.860 0.354 0.860 Sn
0.860 0.860 0.354 Sn
```

=====

SiRhNCl2: optimized geometry, GGA-PBE.

Values from the calculation:
E_form (uncorrected) ... 1.53 eV per formula unit
Total DFT energy (no corrections) ... -23.27 eV per formula unit
Space-group type ... P4/mmm
Total magnetization ... 2.00 μB/cell

Structure (POSCAR):
```
SiRhNCl2
1.0
5.106 0.000 0.000
0.000 5.106 0.000
0.000 0.000 3.203
Si Rh N Cl
1 1 1 2
direct
0.000 0.000 0.000 Si
0.500 0.500 0.500 Rh
0.000 0.000 0.500 N
0.000 0.500 0.000 Cl
0.500 0.000 0.000 Cl
```

=====

CrTeHRhAu2: optimized geometry, GGA-PBE.

Values from the calculation:
ΔE to the lowest computed polymorph ... 2 meV per atom
Total DFT energy (no corrections) ... -29.52 eV per formula unit
Space-group type ... P1
Total magnetization ... 3.40 μB/cell

Structure (POSCAR):
```
CrTeHRhAu2
1.0
4.426 0.000 0.000
2.147 4.172 0.000
0.078 0.954 5.463
Cr Te H Rh Au
1 1 1 1 2
direct
0.000 0.000 0.000 Cr
0.991 0.014 0.499 Te
0.041 0.602 0.215 H
0.378 0.239 0.255 Rh
0.331 0.362 0.747 Au
0.662 0.647 0.018 Au
```

=====

Cs2SnPdI6: optimized geometry, GGA-PBE.

Values from the calculation:
E_form (uncorrected) ... -8.17 eV per formula unit
Total DFT energy (no corrections) ... -28.38 eV per formula unit
Space-group type ... I4/mmm
Total magnetization ... 0.00 μB/cell

Structure (POSCAR):
```
Cs2SnPdI6
1.0
-4.197 4.197 5.930
4.197 -4.197 5.930
4.197 4.197 -5.930
Cs Sn Pd I
2 1 1 6
direct
0.250 0.750 0.500 Cs
0.750 0.250 0.500 Cs
0.000 0.000 0.000 Sn
0.500 0.500 0.000 Pd
0.259 0.259 0.519 I
0.259 0.741 0.000 I
0.260 0.260 0.000 I
0.740 0.740 0.000 I
0.741 0.259 0.000 I
0.741 0.741 0.481 I
```